CsScCoF6 after structural relaxation. Source: Alexandria, functional PBE with a Hubbard U.

Summary:
* electronic total energy: -103.56 eV for the cell shown
* total moment: 6.00 μB per cell

Cell: 7.723 7.506 7.649 Å, 119.38 120.32 90.00°
Last column: magnetic moment on the atom in μB.
Atoms (fractional coordinates):
Cs 0.854 0.604 0.708  0.00
Cs 0.146 0.396 0.292  0.00
Sc 0.500 0.000 0.500  0.01
Sc 0.000 0.000 0.500  0.01
Co 0.500 0.500 0.000  2.79
Co 0.500 0.000 0.000  2.79
F 0.434 0.684 0.868  0.06
F 0.818 0.068 0.636  0.00
F 0.821 0.074 0.258  0.02
F 0.436 0.684 0.258  0.02
F 0.436 0.074 0.258  0.02
F 0.821 0.684 0.258  0.02
F 0.566 0.316 0.132  0.06
F 0.182 0.932 0.364  0.00
F 0.179 0.926 0.742  0.02
F 0.564 0.316 0.742  0.02
F 0.564 0.926 0.742  0.02
F 0.179 0.316 0.742  0.02